First-principles (PBE) data for CeSeCl2 after structural relaxation, as listed in Alexandria.

Calculated values
Calculated volume in Å³ per cell: 453
ρ in g cm⁻³: 4.25
Uncorrected energy in eV per atom: -5.020

a = 3.961 Å, b = 13.022 Å, c = 8.789 Å
α = 90.00°, β = 90.00°, γ = 90.00°
Fractional positions:
1 Ce 0.000 0.236 0.250
2 Ce 0.000 0.764 0.750
3 Ce 0.500 0.264 0.750
4 Ce 0.500 0.736 0.250
5 Se 0.000 0.410 0.750
6 Se 0.000 0.590 0.250
7 Se 0.500 0.090 0.250
8 Se 0.500 0.910 0.750
9 Cl 0.000 0.157 0.570
10 Cl 0.000 0.157 0.930
11 Cl 0.000 0.843 0.070
12 Cl 0.000 0.843 0.430
13 Cl 0.500 0.343 0.070
14 Cl 0.500 0.343 0.430
15 Cl 0.500 0.657 0.570
16 Cl 0.500 0.657 0.930